Compound: AlIn3Pd4
Source: OQMD via LeMat-Bulk
Functional: GGA-PBE
Structure: relaxed

POSCAR file:
```
AlIn3Pd4
1.0
3.711 2.143 2.945
-3.711 2.143 2.945
0.000 -4.285 2.945
Al In Pd
1 3 4
direct
0.000 0.000 0.000 Al
0.318 0.501 0.813 In
0.501 0.813 0.318 In
0.813 0.318 0.501 In
0.015 0.821 0.524 Pd
0.292 0.292 0.292 Pd
0.524 0.015 0.821 Pd
0.821 0.524 0.015 Pd
```

Output
The total energy comes out at -37.28 eV/cell. Its space group is No. 146.